Entry 1:
# BaLaInSe4

A geometry-optimized BaLaInSe4 structure (PBE, Alexandria).

Geometry as CIF:
```
data_BaLaInSe4
_symmetry_space_group_name_H-M 'P 1 21/m 1'
_symmetry_Int_Tables_number 11
_cell_length_a 7.219
_cell_length_b 7.235
_cell_length_c 8.926
_cell_angle_alpha 90.00
_cell_angle_beta 107.18
_cell_angle_gamma 90.00
loop_
_symmetry_equiv_pos_as_xyz
'x,y,z'
'-x,-y,-z'
'-x,y+1/2,-z'
'x,-y+1/2,z'
loop_
_atom_site_label
_atom_site_type_symbol
_atom_site_fract_x
_atom_site_fract_y
_atom_site_fract_z
Ba1 Ba 0.240 0.250 0.056
La1 La 0.226 0.250 0.557
In1 In 0.237 0.750 0.322
Se1 Se 0.017 0.516 0.729
Se2 Se 0.441 0.750 0.131
Se3 Se 0.461 0.750 0.604
```

Calculated values
The calculation puts the formation energy without anion corrections at -1.474 eV/atom.

---

Entry 2:
# Mg2AlRu

A geometry-optimized Mg2AlRu structure (PBE, Alexandria).

Geometry as CIF:
```
data_Mg2AlRu
_symmetry_space_group_name_H-M 'P 4 m m'
_symmetry_Int_Tables_number 99
_cell_length_a 3.204
_cell_length_b 3.204
_cell_length_c 6.784
_cell_angle_alpha 90.00
_cell_angle_beta 90.00
_cell_angle_gamma 90.00
loop_
_symmetry_equiv_pos_as_xyz
'x,y,z'
'-y,x,z'
'-x,-y,z'
'y,-x,z'
'-x,y,z'
'y,x,z'
'x,-y,z'
'-y,-x,z'
loop_
_atom_site_label
_atom_site_type_symbol
_atom_site_fract_x
_atom_site_fract_y
_atom_site_fract_z
Mg1 Mg 0.000 0.000 0.000
Mg2 Mg 0.500 0.500 0.318
Al1 Al 0.500 0.500 0.722
Ru1 Ru 0.000 0.000 0.561
```

---

Entry 3:
# FeHg

A geometry-optimized FeHg structure (PBE, Alexandria).

Geometry as CIF:
```
data_FeHg
_symmetry_space_group_name_H-M 'C m c m'
_symmetry_Int_Tables_number 63
_symmetry_space_group_name_Hall '-C 2c 2'
_cell_length_a 4.629
_cell_length_b 10.338
_cell_length_c 2.992
_cell_angle_alpha 90.00
_cell_angle_beta 90.00
_cell_angle_gamma 90.00
loop_
_atom_site_label
_atom_site_type_symbol
_atom_site_fract_x
_atom_site_fract_y
_atom_site_fract_z
Fe1 Fe 0.000 0.088 0.250
Hg1 Hg 0.000 0.362 0.250
```

---

Entry 4:
# CuMo2Os

A geometry-optimized CuMo2Os structure (PBE, Alexandria).

Geometry as CIF:
```
data_CuMo2Os
_symmetry_space_group_name_H-M 'F m -3 m'
_symmetry_Int_Tables_number 225
_symmetry_space_group_name_Hall '-F 4 2 3'
_cell_length_a 6.187
_cell_length_b 6.187
_cell_length_c 6.187
_cell_angle_alpha 90.00
_cell_angle_beta 90.00
_cell_angle_gamma 90.00
loop_
_atom_site_label
_atom_site_type_symbol
_atom_site_fract_x
_atom_site_fract_y
_atom_site_fract_z
Cu1 Cu 0.000 0.000 0.000
Mo1 Mo 0.250 0.250 0.250
Os1 Os 0.000 0.000 0.500
```

Calculated values
Its relative energy among the computed polymorphs is 234 meV per atom.

---

no.,electronic total energy (eV per atom)
1,-4.835
2,-4.310
3,-3.918
4,-8.885